No. 1
Compound: GaSnOs3
Source: Alexandria
Functional: GGA-PBE
Structure: optimized geometry

Output
Magnetic moment   1.4 μB per cell
Relative energy among the computed polymorphs   21.89 kcal/mol of atoms

Geometry as CIF:
```
data_GaSnOs3
_chemical_formula_sum 'Ga1 Sn1 Os3'
_cell_length_a 4.834
_cell_length_b 4.834
_cell_length_c 4.834
_cell_angle_alpha 90.00
_cell_angle_beta 90.00
_cell_angle_gamma 90.00
_symmetry_space_group_name_H-M 'P m -3 m'
_symmetry_Int_Tables_number 221
_symmetry_space_group_name_Hall '-P 4 2 3'
loop_
_atom_site_label
_atom_site_type_symbol
_atom_site_fract_x
_atom_site_fract_y
_atom_site_fract_z
Ga1 Ga 0.000 0.000 0.000
Sn1 Sn 0.500 0.500 0.500
Os1 Os 0.000 0.500 0.500
```

***

No. 2
Compound: Ac2PuTcN5
Source: Alexandria
Functional: GGA-PBE
Structure: optimized geometry

Output
Magnetic moment   3.5 μB per cell
Uncorrected formation energy   -884.3 meV per atom

Geometry as CIF:
```
data_Ac2PuTcN5
_chemical_formula_sum 'Ac2 Pu1 Tc1 N5'
_cell_length_a 3.960
_cell_length_b 3.960
_cell_length_c 8.832
_cell_angle_alpha 90.00
_cell_angle_beta 90.00
_cell_angle_gamma 90.00
_symmetry_space_group_name_H-M 'P 4/m m m'
_symmetry_Int_Tables_number 123
_symmetry_space_group_name_Hall '-P 4 2'
loop_
_atom_site_label
_atom_site_type_symbol
_atom_site_fract_x
_atom_site_fract_y
_atom_site_fract_z
Ac1 Ac 0.000 0.000 0.212
Pu1 Pu 0.500 0.500 0.500
Tc1 Tc 0.500 0.500 0.000
N1 N 0.000 0.000 0.500
N2 N 0.000 0.500 0.000
N3 N 0.500 0.500 0.266
```

***

No. 3
Compound: LaDy3Er7
Source: Alexandria
Functional: GGA-PBE
Structure: optimized geometry

Output
Magnetic moment   0.0 μB per cell
Relative energy among the computed polymorphs   0.00 kcal/mol of atoms

Geometry as CIF:
```
data_LaDy3Er7
_chemical_formula_sum 'La1 Dy3 Er7'
_cell_length_a 6.910
_cell_length_b 5.517
_cell_length_c 9.845
_cell_angle_alpha 90.00
_cell_angle_beta 108.94
_cell_angle_gamma 90.00
_symmetry_space_group_name_H-M 'P 1 2/m 1'
_symmetry_Int_Tables_number 10
_symmetry_space_group_name_Hall '-P 2y'
loop_
_atom_site_label
_atom_site_type_symbol
_atom_site_fract_x
_atom_site_fract_y
_atom_site_fract_z
La1 La 0.000 0.000 0.000
Dy1 Dy 0.276 0.500 0.494
Dy2 Dy 0.500 0.000 0.000
Er1 Er 0.000 0.000 0.500
Er2 Er 0.149 0.500 0.789
Er3 Er 0.326 0.500 0.143
Er4 Er 0.430 0.000 0.332
```

***

No. 4
Compound: BaTe2H
Source: Alexandria
Functional: GGA-PBE
Structure: optimized geometry

Output
Magnetic moment   0.0 μB per cell
Relative energy among the computed polymorphs   0.00 kcal/mol of atoms

Geometry as CIF:
```
data_BaTe2H
_chemical_formula_sum 'Ba3 Te6 H3'
_cell_length_a 5.5482
_cell_length_b 5.5482
_cell_length_c 20.1159
_cell_angle_alpha 90.00
_cell_angle_beta 90.00
_cell_angle_gamma 120.00
_symmetry_space_group_name_H-M 'R -3 m'
_symmetry_Int_Tables_number 166
_symmetry_space_group_name_Hall '-R 3 2"'
loop_
_atom_site_label
_atom_site_type_symbol
_atom_site_fract_x
_atom_site_fract_y
_atom_site_fract_z
Ba1 Ba 0.0000 0.0000 0.0000
Te1 Te 0.0000 0.0000 0.4049
H1 H 0.0000 0.0000 0.5000
```

***

No. 5
Compound: KLi2Al
Source: Alexandria
Functional: GGA-PBE
Structure: optimized geometry

Output
Magnetic moment   0.0 μB per cell
Calculated total energy   -2.015 eV per atom

Geometry as CIF:
```
data_KLi2Al
_chemical_formula_sum 'K2 Li4 Al2'
_cell_length_a 9.620
_cell_length_b 3.119
_cell_length_c 8.339
_cell_angle_alpha 90.00
_cell_angle_beta 120.78
_cell_angle_gamma 90.00
_symmetry_space_group_name_H-M 'C 1 m 1'
_symmetry_Int_Tables_number 8
_symmetry_space_group_name_Hall 'C -2y'
loop_
_atom_site_label
_atom_site_type_symbol
_atom_site_fract_x
_atom_site_fract_y
_atom_site_fract_z
K1 K 0.000 0.000 0.000
Li1 Li 0.099 0.000 0.644
Li2 Li 0.405 0.000 0.340
Al1 Al 0.249 0.500 0.487
```

***

No. 6
Compound: Sc2NbPd8
Source: Alexandria
Functional: GGA-PBE
Structure: optimized geometry

Output
Magnetic moment   0.0 μB per cell
Calculated total energy   -6.469 eV per atom

Geometry as CIF:
```
data_Sc2NbPd8
_chemical_formula_sum 'Sc4 Nb2 Pd16'
_cell_length_a 14.333
_cell_length_b 4.054
_cell_length_c 6.483
_cell_angle_alpha 90.00
_cell_angle_beta 108.05
_cell_angle_gamma 90.00
_symmetry_space_group_name_H-M 'C 1 2/m 1'
_symmetry_Int_Tables_number 12
_symmetry_space_group_name_Hall '-C 2y'
loop_
_atom_site_label
_atom_site_type_symbol
_atom_site_fract_x
_atom_site_fract_y
_atom_site_fract_z
Sc1 Sc 0.219 0.000 0.162
Nb1 Nb 0.000 0.500 0.500
Pd1 Pd 0.039 0.000 0.228
Pd2 Pd 0.097 0.500 0.945
Pd3 Pd 0.140 0.000 0.683
Pd4 Pd 0.176 0.500 0.411
```

***

No. 7
Compound: NaPdN
Source: Alexandria
Functional: GGA-PBE
Structure: optimized geometry

Output
Magnetic moment   0.0 μB per cell
Relative energy among the computed polymorphs   0.24 kcal/mol of atoms
Uncorrected formation energy   298.8 meV per atom

Geometry as CIF:
```
data_NaPdN
_chemical_formula_sum 'Na1 Pd1 N1'
_cell_length_a 4.3959
_cell_length_b 4.3959
_cell_length_c 3.7367
_cell_angle_alpha 90.00
_cell_angle_beta 90.00
_cell_angle_gamma 120.00
_symmetry_space_group_name_H-M 'P -6 m 2'
_symmetry_Int_Tables_number 187
_symmetry_space_group_name_Hall 'P -6 2'
loop_
_atom_site_label
_atom_site_type_symbol
_atom_site_fract_x
_atom_site_fract_y
_atom_site_fract_z
Na1 Na 0.0000 0.0000 0.0000
Pd1 Pd 0.6667 0.3333 0.5000
N1 N 0.6667 0.3333 0.0000
```

***

No. 8
Compound: SrHoEr2
Source: Alexandria
Functional: GGA-PBE
Structure: optimized geometry

Output
Magnetic moment   0.0 μB per cell
Relative energy among the computed polymorphs   0.00 kcal/mol of atoms

Geometry as CIF:
```
data_SrHoEr2
_chemical_formula_sum 'Sr1 Ho1 Er2'
_cell_length_a 3.648
_cell_length_b 3.648
_cell_length_c 10.510
_cell_angle_alpha 90.00
_cell_angle_beta 90.00
_cell_angle_gamma 90.00
_symmetry_space_group_name_H-M 'P 4/m m m'
_symmetry_Int_Tables_number 123
_symmetry_space_group_name_Hall '-P 4 2'
loop_
_atom_site_label
_atom_site_type_symbol
_atom_site_fract_x
_atom_site_fract_y
_atom_site_fract_z
Sr1 Sr 0.000 0.000 0.000
Ho1 Ho 0.000 0.000 0.500
Er1 Er 0.500 0.500 0.281
```

***

No. 9
Compound: Y8Cu2Os
Source: Alexandria
Functional: GGA-PBE
Structure: optimized geometry

Output
Magnetic moment   0.0 μB per cell
Relative energy among the computed polymorphs   0.00 kcal/mol of atoms

Geometry as CIF:
```
data_Y8Cu2Os
_chemical_formula_sum 'Y16 Cu4 Os2'
_cell_length_a 17.329
_cell_length_b 5.124
_cell_length_c 6.749
_cell_angle_alpha 90.00
_cell_angle_beta 107.60
_cell_angle_gamma 90.00
_symmetry_space_group_name_H-M 'C 1 2/m 1'
_symmetry_Int_Tables_number 12
_symmetry_space_group_name_Hall '-C 2y'
loop_
_atom_site_label
_atom_site_type_symbol
_atom_site_fract_x
_atom_site_fract_y
_atom_site_fract_z
Y1 Y 0.033 0.000 0.298
Y2 Y 0.091 0.500 0.938
Y3 Y 0.167 0.500 0.476
Y4 Y 0.198 0.000 0.820
Cu1 Cu 0.183 0.000 0.216
Os1 Os 0.000 0.500 0.500
```

***

No. 10
Compound: Pt2WSe
Source: Alexandria
Functional: GGA-PBE
Structure: optimized geometry

Output
Magnetic moment   0.0 μB per cell
Uncorrected formation energy   328.6 meV per atom

Geometry as CIF:
```
data_Pt2WSe
_chemical_formula_sum 'Pt2 W1 Se1'
_cell_length_a 2.978
_cell_length_b 4.599
_cell_length_c 4.736
_cell_angle_alpha 90.00
_cell_angle_beta 90.00
_cell_angle_gamma 90.00
_symmetry_space_group_name_H-M 'P m m m'
_symmetry_Int_Tables_number 47
_symmetry_space_group_name_Hall '-P 2 2'
loop_
_atom_site_label
_atom_site_type_symbol
_atom_site_fract_x
_atom_site_fract_y
_atom_site_fract_z
Pt1 Pt 0.000 0.000 0.000
Pt2 Pt 0.500 0.500 0.000
W1 W 0.000 0.500 0.500
Se1 Se 0.500 0.000 0.500
```

***

No. 11
Compound: SiBr2
Source: Alexandria
Functional: GGA-PBE
Structure: optimized geometry

Output
Magnetic moment   0.0 μB per cell
Uncorrected formation energy   -139.8 meV per atom

Geometry as CIF:
```
data_SiBr2
_chemical_formula_sum 'Si2 Br4'
_cell_length_a 3.8476
_cell_length_b 3.8476
_cell_length_c 14.9917
_cell_angle_alpha 90.00
_cell_angle_beta 90.00
_cell_angle_gamma 120.00
_symmetry_space_group_name_H-M 'P 63/m m c'
_symmetry_Int_Tables_number 194
_symmetry_space_group_name_Hall '-P 6c 2c'
loop_
_atom_site_label
_atom_site_type_symbol
_atom_site_fract_x
_atom_site_fract_y
_atom_site_fract_z
Si1 Si 0.0000 0.0000 0.2500
Br1 Br 0.3333 0.6667 0.1339
```

***

No. 12
Compound: La8P3PdI4
Source: Alexandria
Functional: GGA-PBE
Structure: optimized geometry

Output
Magnetic moment   0.0 μB per cell
Uncorrected formation energy   -1298.4 meV per atom

Geometry as CIF:
```
data_La8P3PdI4
_chemical_formula_sum 'La24 P9 Pd3 I12'
_cell_length_a 8.6555
_cell_length_b 8.6555
_cell_length_c 23.2778
_cell_angle_alpha 90.00
_cell_angle_beta 90.00
_cell_angle_gamma 120.00
_symmetry_space_group_name_H-M 'R -3 m'
_symmetry_Int_Tables_number 166
_symmetry_space_group_name_Hall '-R 3 2"'
loop_
_atom_site_label
_atom_site_type_symbol
_atom_site_fract_x
_atom_site_fract_y
_atom_site_fract_z
La1 La 0.0000 0.0000 0.2318
La2 La 0.0067 0.5034 0.7668
P1 P 0.0000 0.5000 0.5000
Pd1 Pd 0.0000 0.0000 0.5000
I1 I 0.0000 0.0000 0.0000
I2 I 0.0000 0.5000 0.0000
```

***

No. 13
Compound: RuNO2
Source: Alexandria
Functional: GGA-PBE
Structure: optimized geometry

Output
Magnetic moment   0.0 μB per cell
Uncorrected formation energy   1218.2 meV per atom

Geometry as CIF:
```
data_RuNO2
_chemical_formula_sum 'Ru4 N4 O8'
_cell_length_a 4.348
_cell_length_b 4.348
_cell_length_c 10.091
_cell_angle_alpha 90.00
_cell_angle_beta 90.00
_cell_angle_gamma 90.00
_symmetry_space_group_name_H-M 'I -4 2 d'
_symmetry_Int_Tables_number 122
_symmetry_space_group_name_Hall 'I -4 2bw'
loop_
_atom_site_label
_atom_site_type_symbol
_atom_site_fract_x
_atom_site_fract_y
_atom_site_fract_z
Ru1 Ru 0.000 0.000 0.000
N1 N 0.000 0.000 0.500
O1 O 0.234 0.250 0.125
```

***

No. 14
Compound: PrHo3Cd4
Source: Alexandria
Functional: GGA-PBE
Structure: optimized geometry

Output
Magnetic moment   0.5 μB per cell
Calculated total energy   -3.082 eV per atom

Geometry as CIF:
```
data_PrHo3Cd4
_chemical_formula_sum 'Pr1 Ho3 Cd4'
_cell_length_a 5.294
_cell_length_b 5.294
_cell_length_c 7.641
_cell_angle_alpha 90.00
_cell_angle_beta 90.00
_cell_angle_gamma 90.00
_symmetry_space_group_name_H-M 'P 4/m m m'
_symmetry_Int_Tables_number 123
_symmetry_space_group_name_Hall '-P 4 2'
loop_
_atom_site_label
_atom_site_type_symbol
_atom_site_fract_x
_atom_site_fract_y
_atom_site_fract_z
Pr1 Pr 0.000 0.000 0.000
Ho1 Ho 0.000 0.000 0.500
Ho2 Ho 0.500 0.500 0.000
Ho3 Ho 0.500 0.500 0.500
Cd1 Cd 0.000 0.500 0.261
```

***

No. 15
Compound: KHfTeI2
Source: Alexandria
Functional: GGA-PBE
Structure: optimized geometry

Output
Magnetic moment   0.8 μB per cell
Relative energy among the computed polymorphs   35.74 kcal/mol of atoms
Uncorrected formation energy   795.3 meV per atom

Geometry as CIF:
```
data_KHfTeI2
_chemical_formula_sum 'K1 Hf1 Te1 I2'
_cell_length_a 5.999
_cell_length_b 5.999
_cell_length_c 6.195
_cell_angle_alpha 90.00
_cell_angle_beta 90.00
_cell_angle_gamma 90.00
_symmetry_space_group_name_H-M 'P 4/m m m'
_symmetry_Int_Tables_number 123
_symmetry_space_group_name_Hall '-P 4 2'
loop_
_atom_site_label
_atom_site_type_symbol
_atom_site_fract_x
_atom_site_fract_y
_atom_site_fract_z
K1 K 0.000 0.000 0.000
Hf1 Hf 0.500 0.500 0.500
Te1 Te 0.000 0.000 0.500
I1 I 0.000 0.500 0.000
```

***

No. 16
Compound: Sr2YI
Source: Alexandria
Functional: GGA-PBE
Structure: optimized geometry

Output
Magnetic moment   6.9 μB per cell
Relative energy among the computed polymorphs   2.94 kcal/mol of atoms
Uncorrected formation energy   -76.3 meV per atom

Geometry as CIF:
```
data_Sr2YI
_chemical_formula_sum 'Sr8 Y4 I4'
_cell_length_a 9.795
_cell_length_b 9.795
_cell_length_c 7.331
_cell_angle_alpha 90.00
_cell_angle_beta 90.00
_cell_angle_gamma 90.00
_symmetry_space_group_name_H-M 'I -4 2 d'
_symmetry_Int_Tables_number 122
_symmetry_space_group_name_Hall 'I -4 2bw'
loop_
_atom_site_label
_atom_site_type_symbol
_atom_site_fract_x
_atom_site_fract_y
_atom_site_fract_z
Sr1 Sr 0.201 0.750 0.125
Y1 Y 0.000 0.000 0.500
I1 I 0.000 0.000 0.000
```

***

No. 17
Compound: ZnAgPt2
Source: Alexandria
Functional: GGA-PBE
Structure: optimized geometry

Output
Magnetic moment   0.0 μB per cell
Calculated total energy   -4.243 eV per atom

Geometry as CIF:
```
data_ZnAgPt2
_chemical_formula_sum 'Zn1 Ag1 Pt2'
_cell_length_a 2.800
_cell_length_b 3.937
_cell_length_c 5.720
_cell_angle_alpha 90.00
_cell_angle_beta 90.00
_cell_angle_gamma 90.00
_symmetry_space_group_name_H-M 'P m m 2'
_symmetry_Int_Tables_number 25
_symmetry_space_group_name_Hall 'P 2 -2'
loop_
_atom_site_label
_atom_site_type_symbol
_atom_site_fract_x
_atom_site_fract_y
_atom_site_fract_z
Zn1 Zn 0.000 0.000 0.000
Ag1 Ag 0.500 0.500 0.266
Pt1 Pt 0.000 0.000 0.520
Pt2 Pt 0.500 0.500 0.781
```